[1]
This record from Alexandria via LeMat-Bulk describes a PBEsol-optimized structure of FeCoRh3. The functional is meta-GGA SCAN.

Values from the calculation:
SG   No. 221
N(E_F)   5.89 states/eV per cell
DFT formation energy   5.6 eV per formula unit
Final energy   -26.226 eV per atom

The structure in extended XYZ format:
```
5
Lattice="-2.039 3.817 -0.034 -3.135 -1.697 -2.454 -2.178 -1.131 3.565" Properties=species:S:1:pos:R:3 pbc="T T T"
Fe -3.676 0.495 0.538
Rh -1.089 -0.566 1.782
Rh -1.020 1.909 -0.017
Rh -1.568 -0.848 -1.227
Co 0.000 0.000 0.000
```


[2]
This record from Alexandria via LeMat-Bulk describes a PBEsol-optimized structure of KTa2Cd. The functional is meta-GGA SCAN.

Values from the calculation:
SG   No. 123
N(E_F)   4.49 states/eV per cell
DFT formation energy   3.7 eV per formula unit
Final energy   -42.054 eV per atom

The structure in extended XYZ format:
```
4
Lattice="2.791 0.000 0.000 0.000 2.791 0.000 0.000 0.000 11.161" Properties=species:S:1:pos:R:3 pbc="T T T"
K 1.395 1.395 5.580
Ta 0.000 0.000 8.835
Ta 0.000 0.000 2.326
Cd 1.395 1.395 0.000
```


[3]
This record from Alexandria via LeMat-Bulk describes a PBEsol-optimized structure of TiBi2Pd. The functional is meta-GGA SCAN.

Values from the calculation:
SG   No. 122
N(E_F)   5.97 states/eV per cell
DFT formation energy   0.5 eV per formula unit
Final energy   -51.373 eV per atom

The structure in extended XYZ format:
```
8
Lattice="4.560 0.000 0.000 0.000 4.560 0.000 -2.280 -2.280 9.125" Properties=species:S:1:pos:R:3 pbc="T T T"
Bi 1.140 1.151 6.843
Bi 1.129 3.420 2.281
Bi -1.140 -1.151 6.843
Bi 3.431 1.140 2.281
Ti 2.280 2.280 0.000
Ti 2.280 0.000 4.562
Pd 0.000 2.280 4.562
Pd 0.000 0.000 0.000
```


[4]
This record from Alexandria via LeMat-Bulk describes a PBEsol-optimized structure of Li2PrPb. The functional is meta-GGA SCAN.

Values from the calculation:
SG   No. 225
N(E_F)   1.52 states/eV per cell
DFT formation energy   -2.0 eV per formula unit
Final energy   -31.475 eV per atom

The structure in extended XYZ format:
```
4
Lattice="-2.566 -3.917 -1.492 2.342 -4.113 -1.325 -0.256 -3.999 2.845" Properties=species:S:1:pos:R:3 pbc="T T T"
Pr -0.240 -6.015 0.014
Li -0.360 -9.022 0.021
Li -0.120 -3.007 0.007
Pb 0.000 0.000 0.000
```